Record 1
DFT (GGA-PBE) results for an optimized crystal structure of KSb2CS.

Cell and atoms, written as POSCAR:
```
KSb2CS
1.0
4.693 0.000 0.000
0.000 5.566 0.000
0.000 0.000 4.693
C Sb K S
1 2 1 1
direct
0.000 0.000 0.000 C
0.000 0.000 0.500 Sb
0.500 0.000 0.000 Sb
0.500 0.500 0.500 K
0.000 0.500 0.000 S
```

Summary:
Its crystal system is tetragonal. For the volume, the calculation gives 24.52 Å³/atom. The density of states at the Fermi level is 3.63 states/eV/cell. The uncorrected formation energy is 0.832 eV/atom. The value obtained for the total magnetization is 0.00 μB per atom.

---

Record 2
DFT (GGA-PBE) results for an optimized crystal structure of CuTcB.

Cell and atoms, written as POSCAR:
```
CuTcB
1.0
2.929 -0.006 -0.010
-1.472 4.947 0.022
-1.470 -1.923 4.730
B Tc Cu
2 2 2
direct
0.869 0.802 0.438 B
0.131 0.198 0.562 B
0.652 0.012 0.779 Tc
0.348 0.988 0.221 Tc
0.118 0.469 0.272 Cu
0.882 0.531 0.728 Cu
```

Summary:
Its crystal system is triclinic. For the volume, the calculation gives 11.42 Å³/atom. The density of states at the Fermi level is 2.42 states/eV/cell. Its formation energy is 86 meV per atom. As for the energy above the lowest structure with this stoichiometry: 4.137 kcal/mol of atoms. The value obtained for the total magnetization is 0.00 μB per atom.

---

Record 3
DFT (GGA-PBE) results for an optimized crystal structure of LiTaSb.

Cell and atoms, written as POSCAR:
```
LiTaSb
1.0
5.163 0.004 0.000
2.818 4.326 0.000
-3.991 -2.165 2.459
Li Sb Ta
1 1 1
direct
0.008 0.008 0.000 Li
0.660 0.660 0.000 Sb
0.333 0.333 0.000 Ta
```

Summary:
Its crystal system is tetragonal. For the volume, the calculation gives 18.30 Å³/atom. The density of states at the Fermi level is 3.94 states/eV/cell. The uncorrected formation energy is 0.219 eV/atom. As for the energy above the lowest structure with this stoichiometry: 12.047 kcal/mol of atoms. The value obtained for the total magnetization is 0.00 μB per atom.